No. 1
{
  "formula": "In3CuW",
  "functional": "SCAN",
  "state": "single point on PBEsol structure",
  "n_ef_per_ev_cell": 3.23,
  "spacegroup": "No. 221",
  "final_energy_ev_per_atom": -35.7948,
  "lattice_angstrom": [[4.8060, 0.0000, 0.0000], [0.0000, 4.8060, 0.0000], [0.0000, 0.0000, 4.8060]],
  "species": ["In", "Cu", "In", "W", "In"],
  "fractional_positions": [[0.0000, 0.0000, 0.5000], [0.0000, 0.0000, 0.0000], [0.0000, 0.5000, 0.0000], [0.5000, 0.5000, 0.5000], [0.5000, 0.0000, 0.0000]]
}

No. 2
{
  "formula": "ZnCo2W",
  "functional": "SCAN",
  "state": "single point on PBEsol structure",
  "n_ef_per_ev_cell": 2.38,
  "spacegroup": "No. 47",
  "final_energy_ev_per_atom": -29.3043,
  "lattice_angstrom": [[-1.0148, 2.3098, 0.8800], [-1.1092, -1.5405, 2.7645], [4.6569, 1.1005, 2.4816]],
  "species": ["Zn", "W", "Co", "Co"],
  "fractional_positions": [[0.5000, 0.5000, 0.5000], [0.5000, 0.5000, 0.0000], [0.0000, 0.0000, 0.7488], [0.0000, 0.0000, 0.2512]]
}

No. 3
{
  "formula": "BaCaHg2",
  "functional": "SCAN",
  "state": "single point on PBEsol structure",
  "n_ef_per_ev_cell": 1.95,
  "spacegroup": "No. 99",
  "final_energy_ev_per_atom": -46.8818,
  "lattice_angstrom": [[-2.8499, -3.0046, 0.3076], [2.5981, -2.2232, 2.3561], [-2.7988, 3.2883, 6.1892]],
  "species": ["Hg", "Ca", "Hg", "Ba"],
  "fractional_positions": [[0.0000, 0.0000, 0.9852], [0.5000, 0.5000, 0.8343], [0.5000, 0.5000, 0.2332], [0.0000, 0.0000, 0.4473]]
}

No. 4
{
  "formula": "KReSiO2",
  "functional": "SCAN",
  "state": "single point on PBEsol structure",
  "n_ef_per_ev_cell": 3.17,
  "spacegroup": "No. 123",
  "final_energy_ev_per_atom": -19.3074,
  "raw_formation_energy_mev_per_atom": 1074,
  "lattice_angstrom": [[3.5425, 0.0000, 0.0000], [0.0000, 3.5425, 0.0000], [0.0000, 0.0000, 7.0815]],
  "species": ["O", "Si", "K", "O", "Re"],
  "fractional_positions": [[0.0000, 0.5000, 0.0000], [0.0000, 0.0000, 0.0000], [0.0000, 0.0000, 0.5000], [0.5000, 0.0000, 0.0000], [0.5000, 0.5000, 0.5000]]
}

No. 5
{
  "formula": "NiIr2Os",
  "functional": "SCAN",
  "state": "single point on PBEsol structure",
  "n_ef_per_ev_cell": 3.74,
  "spacegroup": "No. 166",
  "final_energy_ev_per_atom": -57.5314,
  "lattice_angstrom": [[2.6849, 0.0000, 0.0000], [1.3425, 2.3252, 0.0000], [1.3425, 0.7751, 8.5245]],
  "species": ["Ir", "Os", "Ir", "Ni"],
  "fractional_positions": [[0.2480, 0.2480, 0.2561], [0.0000, 0.0000, 0.0000], [0.7520, 0.7520, 0.7439], [0.5000, 0.5000, 0.5000]]
}

No. 6
{
  "formula": "MoOs",
  "functional": "SCAN",
  "state": "single point on PBEsol structure",
  "n_ef_per_ev_cell": 2.33,
  "spacegroup": "No. 12",
  "final_energy_ev_per_atom": -53.3545,
  "lattice_angstrom": [[-0.9371, -2.2869, 1.1930], [4.0454, -2.2607, -1.1558], [0.2716, 3.5402, 3.8431]],
  "species": ["Mo", "Os", "Mo", "Os"],
  "fractional_positions": [[0.6165, 0.9511, 0.2331], [0.8696, 0.5338, 0.7392], [0.3835, 0.0489, 0.7669], [0.1304, 0.4662, 0.2608]]
}

Number 6 is which compound? MoOs

Copy entry 4 word for word.
{
  "formula": "KReSiO2",
  "functional": "SCAN",
  "state": "single point on PBEsol structure",
  "n_ef_per_ev_cell": 3.17,
  "spacegroup": "No. 123",
  "final_energy_ev_per_atom": -19.3074,
  "raw_formation_energy_mev_per_atom": 1074,
  "lattice_angstrom": [[3.5425, 0.0000, 0.0000], [0.0000, 3.5425, 0.0000], [0.0000, 0.0000, 7.0815]],
  "species": ["O", "Si", "K", "O", "Re"],
  "fractional_positions": [[0.0000, 0.5000, 0.0000], [0.0000, 0.0000, 0.0000], [0.0000, 0.0000, 0.5000], [0.5000, 0.0000, 0.0000], [0.5000, 0.5000, 0.5000]]
}

Copy entry 3 word for word.
{
  "formula": "BaCaHg2",
  "functional": "SCAN",
  "state": "single point on PBEsol structure",
  "n_ef_per_ev_cell": 1.95,
  "spacegroup": "No. 99",
  "final_energy_ev_per_atom": -46.8818,
  "lattice_angstrom": [[-2.8499, -3.0046, 0.3076], [2.5981, -2.2232, 2.3561], [-2.7988, 3.2883, 6.1892]],
  "species": ["Hg", "Ca", "Hg", "Ba"],
  "fractional_positions": [[0.0000, 0.0000, 0.9852], [0.5000, 0.5000, 0.8343], [0.5000, 0.5000, 0.2332], [0.0000, 0.0000, 0.4473]]
}